The following is a DFT calculation (PBE) of a relaxed structure of CsCo3Sn5.

Its total moment is 0.0 Bohr magnetons per cell. As for the space group: P6/mmm. For the energy, the calculation gives -0.17685 Ha/atom.

a = 5.261 Å, b = 5.261 Å, c = 9.640 Å
α = 90.00°, β = 90.00°, γ = 120.00°
Atoms (fractional coordinates):
Cs1 0.000 0.000 0.000
Co1 0.000 0.500 0.500
Co2 0.500 0.000 0.500
Co3 0.500 0.500 0.500
Sn1 0.000 0.000 0.500
Sn2 0.333 0.667 0.278
Sn3 0.333 0.667 0.722
Sn4 0.667 0.333 0.278
Sn5 0.667 0.333 0.722



The following is a DFT calculation (PBE) of a relaxed structure of MgTaIr2.

Its total moment is 0.0 Bohr magnetons per cell. As for the space group: P4/mmm. For the energy, the calculation gives -0.30380 Ha/atom. For the excess energy over the best structure of this formula in the dataset, the calculation gives 11.91 kJ/mol of atoms.

a = 4.246 Å, b = 4.246 Å, c = 3.491 Å
α = 90.00°, β = 90.00°, γ = 90.00°
Atoms (fractional coordinates):
Mg1 0.000 0.000 0.000
Ta1 0.500 0.500 0.000
Ir1 0.000 0.500 0.500
Ir2 0.500 0.000 0.500



The following is a DFT calculation (PBE) of a relaxed structure of ZrGaNiIr.

Its total moment is 0.0 Bohr magnetons per cell. As for the space group: F-43m. For the energy, the calculation gives -0.24990 Ha/atom. For the excess energy over the best structure of this formula in the dataset, the calculation gives 29.98 kJ/mol of atoms.

a = 4.472 Å, b = 4.472 Å, c = 4.472 Å
α = 60.00°, β = 60.00°, γ = 60.00°
Atoms (fractional coordinates):
Zr1 0.000 0.000 0.000
Ga1 0.250 0.250 0.250
Ni1 0.500 0.500 0.500
Ir1 0.750 0.750 0.750



The following is a DFT calculation (PBE) of a relaxed structure of BaBi2PtAu.

Its total moment is 0.0 Bohr magnetons per cell. As for the space group: P2_1/m. For the energy, the calculation gives -0.16293 Ha/atom. For the excess energy over the best structure of this formula in the dataset, the calculation gives 3.46 kJ/mol of atoms.

a = 5.106 Å, b = 4.889 Å, c = 11.507 Å
α = 90.00°, β = 92.11°, γ = 90.00°
Atoms (fractional coordinates):
Ba1 0.226 0.250 0.237
Ba2 0.774 0.750 0.763
Bi1 0.255 0.750 0.498
Bi2 0.316 0.250 0.896
Bi3 0.684 0.750 0.104
Bi4 0.745 0.250 0.502
Pt1 0.171 0.750 0.999
Pt2 0.829 0.250 0.001
Au1 0.254 0.250 0.646
Au2 0.746 0.750 0.354



The following is a DFT calculation (PBE) of a relaxed structure of LiScTlAg.

Its total moment is 0.0 Bohr magnetons per cell. As for the space group: F-43m. For the energy, the calculation gives -0.13276 Ha/atom. For the excess energy over the best structure of this formula in the dataset, the calculation gives 0.00 kJ/mol of atoms.

a = 4.829 Å, b = 4.829 Å, c = 4.829 Å
α = 60.00°, β = 60.00°, γ = 60.00°
Atoms (fractional coordinates):
Li1 0.000 0.000 0.000
Sc1 0.500 0.500 0.500
Tl1 0.250 0.250 0.250
Ag1 0.750 0.750 0.750



The following is a DFT calculation (PBE) of a relaxed structure of NaCd4Au2.

As for the space group: P4_2/mnm. For the energy, the calculation gives -0.06810 Ha/atom.

a = 8.401 Å, b = 8.401 Å, c = 4.572 Å
α = 90.00°, β = 90.00°, γ = 90.00°
Atoms (fractional coordinates):
Na1 0.000 0.000 0.000
Na2 0.500 0.500 0.500
Cd1 0.096 0.345 0.500
Cd2 0.155 0.596 0.000
Cd3 0.345 0.096 0.500
Cd4 0.404 0.845 0.000
Cd5 0.596 0.155 0.000
Cd6 0.655 0.904 0.500
Cd7 0.845 0.404 0.000
Cd8 0.904 0.655 0.500
Au1 0.214 0.786 0.500
Au2 0.286 0.286 0.000
Au3 0.714 0.714 0.000
Au4 0.786 0.214 0.500